(1)
Compound: Ac2MnSe5
Source: Alexandria via LeMat-Bulk
Functional: PBE
Structure: optimized geometry

Cell: 10.129 10.151 8.509 Å, 90.00 90.00 90.00°
Space group Fmm2 (No. 42)
Symmetry-distinct sites (fractional):
Ac: 0.250 0.250 0.000 [8 per cell]
Mn: 0.000 0.000 0.288 [4 per cell]
Se: 0.000 0.000 0.553 [4 per cell]
Se: 0.000 0.239 0.247 [8 per cell]
Se: 0.239 0.000 0.246 [8 per cell]

(2)
Compound: K3CaCe2O6
Source: Alexandria via LeMat-Bulk
Functional: PBE
Structure: optimized geometry

Cell: 6.214 10.761 6.580 Å, 90.00 108.33 90.00°
Space group C2/m (No. 12)
Symmetry-distinct sites (fractional):
K: 0.000 0.000 0.000 [2 per cell]
K: 0.000 0.337 0.000 [4 per cell]
Ca: 0.000 0.500 0.500 [2 per cell]
Ce: 0.000 0.167 0.500 [4 per cell]
O: 0.218 0.000 0.688 [4 per cell]
O: 0.235 0.327 0.688 [8 per cell]

no.,total magnetic moment (μB per formula unit),raw formation energy (eV per atom)
1,2.98,-1.316
2,1.01,-2.619